one.
Below is an optimized crystal structure of La2NbAlBi, with properties calculated at the PBE-GGA level.

```
La2NbAlBi
1.0
-5.8541 0.9821 1.2277
-1.3640 -3.1457 -3.9879
-0.0103 -4.7574 3.7562
La Nb Al Bi
2 1 1 1
direct
0.5000 0.0000 0.0000 La
0.0000 0.0000 0.5000 La
0.0000 0.5000 0.0000 Nb
0.5000 0.5000 0.5000 Al
0.0000 0.0000 0.0000 Bi
```

## Properties
total magnetic moment: 1.4 μB/f.u.
symmetry: No. 123

=====

two.
Below is an optimized crystal structure of La2NbAlBi, with properties calculated at the PBE-GGA level.

```
La2NbAlBi
1.0
-5.4406 -1.5301 -0.8419
1.0939 -4.6361 1.3569
-1.2072 1.3046 5.4305
Nb Bi Al La
1 1 1 2
direct
0.0000 0.5000 0.0000 Nb
0.5000 0.5000 0.5000 Bi
0.0000 0.0000 0.0000 Al
0.5000 0.0000 0.0000 La
0.0000 0.0000 0.5000 La
```

## Properties
total magnetic moment: 1.9 μB/f.u.
symmetry: No. 123

=====

one is the least stable structure shown above.